Material: NaCaSeN2
Method: DFT, SCAN
State: single point on PBEsol structure

The value obtained for the final energy is -9.81 eV/atom. The calculation puts the calculated volume at 20.24 Å³/atom. The formation energy without anion corrections is 15.979 kcal/mol of atoms. For the total magnetization, the calculation gives 5.00 μB per formula unit.

The space group is P4/mmm (No. 123) and the conventional cell measures 4.374, 4.374 and 5.289 Å, with angles of 90.00, 90.00 and 90.00 degrees. Symmetry generates all atoms from Na at (0.000, 0.000, 0.000), Ca at (0.500, 0.500, 0.500), Se at (0.000, 0.000, 0.500) and N at (0.000, 0.500, 0.000).